This record from Alexandria via LeMat-Bulk describes crystalline B7C5 at its relaxed geometry. The functional is PBE.

Energy relative to the elements = 0.424 eV per atom
E = -87.8 eV/cell
E above lowest polymorph = 25.1 kJ per mole of atoms
M_tot = 0.0 μB per formula unit

Unit cell a=4.607 b=4.607 c=8.072 alpha=117.66 beta=117.66 gamma=33.72
Positions (direct):
C: 0.184 0.184 0.693
B: 0.713 0.713 0.819
C: 0.135 0.135 0.206
B: 0.968 0.968 0.992
B: 0.788 0.788 0.056
C: 0.851 0.851 0.537
B: 0.545 0.545 0.888
B: 0.685 0.685 0.326
C: 0.308 0.308 0.181
B: 0.463 0.463 0.388
C: 0.016 0.016 0.513
B: 0.343 0.343 0.651